No. 1
Er3Be5Au12 | PBE | optimized geometry

a = 12.8211 Å, b = 12.8211 Å, c = 12.8211 Å
α = 109.47°, β = 109.47°, γ = 109.47°
Last column: nearest neighbours and their distance in Å.
Fractional coordinates of all 80 atoms:
Er  0.8750  0.1250  0.2500  8 Au 2.90-3.00
Er  0.2500  0.1250  0.3750  8 Au 2.90-3.00
Er  0.1250  0.8750  0.7500  8 Au 2.90-3.00
Er  0.7500  0.8750  0.6250  8 Au 2.90-3.00
Er  0.6250  0.3750  0.7500  8 Au 2.90-3.00
Er  0.2500  0.6250  0.8750  8 Au 2.90-3.00
Er  0.6250  0.2500  0.3750  8 Au 2.90-3.00
Er  0.3750  0.7500  0.6250  8 Au 2.90-3.00
Er  0.1250  0.2500  0.8750  8 Au 2.90-3.00
Er  0.3750  0.6250  0.2500  8 Au 2.90-3.00
Er  0.7500  0.3750  0.1250  8 Au 2.90-3.00
Er  0.8750  0.7500  0.1250  8 Au 2.90-3.00
Au  0.3017  0.4064  0.8242  2 Be 2.26-2.31
Au  0.6758  0.1983  0.5936  2 Be 2.26-2.31
Au  0.1983  0.5224  0.6047  2 Be 2.26-2.31
Au  0.4178  0.0224  0.3242  2 Be 2.26-2.31
Au  0.3953  0.9776  0.8017  2 Be 2.26-2.31
Au  0.0822  0.1758  0.4776  2 Be 2.26-2.31
Au  0.1047  0.4064  0.0822  2 Be 2.26-2.31
Au  0.4064  0.3017  0.3242  2 Be 2.26-2.31
Au  0.9776  0.3953  0.3017  2 Be 2.26-2.31
Au  0.1983  0.6758  0.0936  2 Be 2.26-2.31
Au  0.4064  0.1047  0.5822  2 Be 2.26-2.31
Au  0.6047  0.0224  0.1983  2 Be 2.26-2.31
Au  0.9064  0.0822  0.6047  2 Be 2.26-2.31
Au  0.1758  0.0822  0.9776  2 Be 2.26-2.31
Au  0.3242  0.5224  0.4178  2 Be 2.26-2.31
Au  0.1047  0.6983  0.5224  2 Be 2.26-2.31
Au  0.0936  0.9178  0.3953  2 Be 2.26-2.31
Au  0.4776  0.8017  0.8953  2 Be 2.26-2.31
Au  0.5224  0.1983  0.1047  2 Be 2.26-2.31
Au  0.9776  0.5822  0.1758  2 Be 2.26-2.31
Au  0.4776  0.6758  0.0822  2 Be 2.26-2.31
Au  0.8242  0.9178  0.0224  2 Be 2.26-2.31
Au  0.5224  0.3242  0.9178  2 Be 2.26-2.31
Au  0.9064  0.8242  0.8017  2 Be 2.26-2.31
Au  0.6983  0.5936  0.1758  2 Be 2.26-2.31
Au  0.1758  0.0936  0.6983  2 Be 2.26-2.31
Au  0.8017  0.4776  0.3953  2 Be 2.26-2.31
Au  0.3953  0.4178  0.0936  2 Be 2.26-2.31
Au  0.8953  0.5936  0.9178  2 Be 2.26-2.31
Au  0.6983  0.1047  0.0224  2 Be 2.26-2.31
Au  0.0936  0.1758  0.1983  2 Be 2.26-2.31
Au  0.0224  0.6047  0.6983  2 Be 2.26-2.31
Au  0.5822  0.6047  0.4064  2 Be 2.26-2.31
Au  0.5822  0.9776  0.6758  2 Be 2.26-2.31
Au  0.0822  0.9064  0.1047  2 Be 2.26-2.31
Au  0.0224  0.4178  0.8242  2 Be 2.26-2.31
Au  0.8242  0.9064  0.3017  2 Be 2.26-2.31
Au  0.3017  0.8953  0.9776  2 Be 2.26-2.31
Au  0.9178  0.0936  0.8953  2 Be 2.26-2.31
Au  0.8953  0.3017  0.4776  2 Be 2.26-2.31
Au  0.6758  0.4776  0.5822  2 Be 2.26-2.31
Au  0.4178  0.3953  0.5936  2 Be 2.26-2.31
Au  0.5936  0.6983  0.6758  2 Be 2.26-2.31
Au  0.9178  0.8242  0.5224  2 Be 2.26-2.31
Au  0.6047  0.5822  0.9064  2 Be 2.26-2.31
Au  0.5936  0.8953  0.4178  2 Be 2.26-2.31
Au  0.8017  0.3242  0.9064  2 Be 2.26-2.31
Au  0.3242  0.8017  0.4064  2 Be 2.26-2.31
Be  0.2500  0.3750  0.6250  4 Au 2.26
Be  0.3750  0.2500  0.1250  4 Au 2.26
Be  0.2500  0.8750  0.1250  4 Au 2.26
Be  0.0000  0.5000  0.5000  6 Au 2.31
Be  0.8750  0.2500  0.6250  4 Au 2.26
Be  0.1250  0.3750  0.2500  4 Au 2.26
Be  0.0000  0.5000  0.0000  6 Au 2.31
Be  0.6250  0.8750  0.2500  4 Au 2.26
Be  0.5000  0.5000  0.5000  6 Au 2.31
Be  0.5000  0.0000  0.5000  6 Au 2.31
Be  0.7500  0.6250  0.3750  4 Au 2.26
Be  0.6250  0.7500  0.8750  4 Au 2.26
Be  0.7500  0.1250  0.8750  4 Au 2.26
Be  0.5000  0.0000  0.0000  6 Au 2.31
Be  0.0000  0.0000  0.0000  6 Au 2.31
Be  0.5000  0.5000  0.0000  6 Au 2.31
Be  0.8750  0.6250  0.7500  4 Au 2.26
Be  0.1250  0.7500  0.3750  4 Au 2.26
Be  0.3750  0.1250  0.7500  4 Au 2.26
Be  0.0000  0.0000  0.5000  6 Au 2.31

Computed properties:
Spin magnetization = 0.000 Bohr magnetons per cell
Space-group type = Ia-3d


No. 2
Er2BeAu | PBE | optimized geometry

a = 4.9458 Å, b = 4.9458 Å, c = 4.9458 Å
α = 60.00°, β = 60.00°, γ = 60.00°
Last column: nearest neighbours and their distance in Å.
Fractional coordinates of all 4 atoms:
Be  0.5000  0.5000  0.5000  8 Er 3.03
Er  0.2500  0.2500  0.2500  4 Be 3.03, 4 Au 3.03
Er  0.7500  0.7500  0.7500  4 Au 3.03, 4 Be 3.03
Au  0.0000  0.0000  0.0000  8 Er 3.03

Computed properties:
Spin magnetization = 0.000 Bohr magnetons per cell
Space-group type = Fm-3m


No. 3
ErBe6Au12 | PBE | optimized geometry

a = 7.3474 Å, b = 7.3474 Å, c = 7.3474 Å
α = 109.47°, β = 109.47°, γ = 109.47°
Last column: nearest neighbours and their distance in Å.
Fractional coordinates of all 19 atoms:
Be  0.6285  0.5000  0.1285  1 Be 2.18, 2 Au 2.34
Be  0.3715  0.5000  0.8715  1 Be 2.18, 2 Au 2.34
Be  0.5000  0.8715  0.3715  1 Be 2.18, 2 Au 2.34
Be  0.8715  0.3715  0.5000  1 Be 2.18, 2 Au 2.34
Be  0.5000  0.1285  0.6285  1 Be 2.18, 2 Au 2.34
Be  0.1285  0.6285  0.5000  1 Be 2.18, 2 Au 2.34
Er  0.0000  0.0000  0.0000  12 Au 2.99
Au  0.6923  0.8654  0.1731  3 Be 2.34-2.45
Au  0.6923  0.5192  0.8269  3 Be 2.34-2.45
Au  0.3077  0.4808  0.1731  3 Be 2.34-2.45
Au  0.8269  0.3077  0.1346  3 Be 2.34-2.45
Au  0.1731  0.6923  0.8654  3 Be 2.34-2.45
Au  0.3077  0.1346  0.8269  3 Be 2.34-2.45
Au  0.4808  0.1731  0.3077  3 Be 2.34-2.45
Au  0.8654  0.1731  0.6923  3 Be 2.34-2.45
Au  0.5192  0.8269  0.6923  3 Be 2.34-2.45
Au  0.8269  0.6923  0.5192  3 Be 2.34-2.45
Au  0.1731  0.3077  0.4808  3 Be 2.34-2.45
Au  0.1346  0.8269  0.3077  3 Be 2.34-2.45

Computed properties:
Spin magnetization = 0.000 Bohr magnetons per cell
Space-group type = Im-3


No. 4
Er2BeAu | PBE | optimized geometry

a = 3.5021 Å, b = 3.5021 Å, c = 6.8303 Å
α = 90.00°, β = 90.00°, γ = 90.00°
Last column: nearest neighbours and their distance in Å.
Fractional coordinates of all 4 atoms:
Au  0.5000  0.5000  0.5000  8 Er 3.06, 2 Be 3.42
Er  0.0000  0.0000  0.7627  4 Be 2.96, 4 Au 3.06, 1 Er 3.24
Er  0.0000  0.0000  0.2373  4 Be 2.96, 4 Au 3.06, 1 Er 3.24
Be  0.5000  0.5000  0.0000  8 Er 2.96

Computed properties:
Spin magnetization = 0.000 Bohr magnetons per cell
Space-group type = P4/mmm


No. 5
ErBe3Au3 | PBE | optimized geometry

a = 6.3250 Å, b = 6.3250 Å, c = 6.3250 Å
α = 90.00°, β = 90.00°, γ = 90.00°
Last column: nearest neighbours and their distance in Å.
Fractional coordinates of all 14 atoms:
Be  0.5000  0.0000  0.7500  4 Au 2.24
Be  0.5000  0.0000  0.2500  4 Au 2.24
Be  0.7500  0.5000  0.0000  4 Au 2.24
Be  0.2500  0.5000  0.0000  4 Au 2.24
Be  0.0000  0.2500  0.5000  4 Au 2.24
Be  0.0000  0.7500  0.5000  4 Au 2.24
Au  0.7500  0.0000  0.5000  4 Be 2.24
Au  0.2500  0.0000  0.5000  4 Be 2.24
Au  0.5000  0.7500  0.0000  4 Be 2.24
Au  0.0000  0.5000  0.7500  4 Be 2.24
Au  0.0000  0.5000  0.2500  4 Be 2.24
Au  0.5000  0.2500  0.0000  4 Be 2.24
Er  0.5000  0.5000  0.5000  12 Be 3.54, 12 Au 3.54
Er  0.0000  0.0000  0.0000  12 Be 3.54, 12 Au 3.54

Computed properties:
Spin magnetization = 0.000 Bohr magnetons per cell
Space-group type = Pm-3n


No. 6
ErBe5Au7 | PBE | optimized geometry

a = 5.0279 Å, b = 6.7192 Å, c = 6.7192 Å
α = 81.35°, β = 68.03°, γ = 68.03°
Last column: nearest neighbours and their distance in Å.
Fractional coordinates of all 13 atoms:
Be  0.0100  0.4965  0.9908  4 Au 2.43-2.55, 3 Be 2.48-2.55
Be  0.0100  0.9908  0.4965  4 Au 2.43-2.55, 3 Be 2.48-2.55
Be  0.7325  0.7675  0.7675  6 Au 2.45-2.63, 4 Be 2.52
Be  0.5027  0.9908  0.4965  4 Au 2.43-2.55, 3 Be 2.48-2.55
Be  0.5027  0.4965  0.9908  4 Au 2.43-2.55, 3 Be 2.48-2.55
Au  0.9740  0.3640  0.6879  3 Be 2.43-2.57
Au  0.3184  0.6816  0.6816  6 Be 2.55-2.63
Au  0.2729  0.2271  0.2271  4 Be 2.54, 4 Au 2.74-2.83
Au  0.5300  0.1607  0.7792  3 Be 2.43-2.45
Au  0.5300  0.7792  0.1607  3 Be 2.43-2.45
Au  0.6508  0.3492  0.3492  4 Be 2.72, 5 Au 2.74-2.95, 1 Er 3.02
Au  0.9740  0.6879  0.3640  3 Be 2.43-2.57
Er  0.9916  0.0084  0.0084  10 Au 2.90-3.17

Computed properties:
Spin magnetization = 0.000 Bohr magnetons per cell
Space-group type = Imm2


Values of raw total energy, in order: -75.29, -17.56, -68.19, -17.73, -26.02, -49.94, all in eV per formula unit.
Values of V, in order: 20.28, 21.39, 16.07, 20.94, 18.07, 15.02, all in Å³/atom.
Values of formation energy from the elements, in order: -0.182, -0.359, -0.102, -0.400, -0.064, -0.293, all in eV per atom.